# Cd2IrPb PBE relaxed
data_Cd2IrPb
_space_group_name_H-M_alt 'I -4 m 2'
_space_group_IT_number 119
_space_group_name_Hall 'I -4 -2'
_cell_length_a 4.397
_cell_length_b 4.397
_cell_length_c 8.483
_cell_angle_alpha 90.00
_cell_angle_beta 90.00
_cell_angle_gamma 90.00
loop_
_atom_site_label
_atom_site_fract_x
_atom_site_fract_y
_atom_site_fract_z
_atom_site_occupancy
Cd1 0.000 0.000 0.000 1
Cd2 0.000 0.500 0.250 1
Ir1 0.000 0.500 0.750 1
Pb1 0.000 0.000 0.500 1
# Energy of formation   0.268 eV/atom